Computed, not measured: a relaxed FeSiPt2 crystal at the PBE level of DFT.

Lattice parameters (Å, degrees): 2.8385 2.8385 6.7616 90.00 90.00 90.00
Closest atoms and distances in Å follow each position.
Fractional coordinates of all 4 atoms:
Pt  0.0000  0.0000  0.9719  4 Fe 2.65, 8 Pt 2.84-2.95
Pt  0.5000  0.5000  0.2915  4 Si 2.54, 4 Pt 2.84
Si  0.0000  0.0000  0.5213  4 Fe 2.40, 4 Pt 2.54
Fe  0.5000  0.5000  0.7154  4 Si 2.40, 4 Pt 2.65

**Final energy**: -27.24 eV/cell
**Density of states at the Fermi level**: 2.68 states/eV per cell

***

Computed, not measured: a relaxed FeSiPt2 crystal at the PBE level of DFT.

Lattice parameters (Å, degrees): 4.7822 4.7822 4.7822 136.87 128.75 69.17
Closest atoms and distances in Å follow each position.
Fractional coordinates of all 4 atoms:
Pt  0.5333  0.5333  0.0000  2 Si 2.45, 2 Fe 2.68
Pt  0.9667  0.9667  0.0000  2 Si 2.45, 2 Fe 2.68
Fe  0.2500  0.7500  0.5000  8 Pt 2.68-2.84, 4 Si 2.71
Si  0.7500  0.2500  0.5000  4 Pt 2.45, 4 Fe 2.71

**Final energy**: -27.36 eV/cell
**Density of states at the Fermi level**: 2.82 states/eV per cell

***

Computed, not measured: a relaxed FeSiPt2 crystal at the PBE level of DFT.

Lattice parameters (Å, degrees): 4.8059 4.8059 4.8059 133.93 133.93 67.20
Closest atoms and distances in Å follow each position.
Fractional coordinates of all 4 atoms:
Pt  0.0000  0.0000  0.0000  4 Si 2.66, 4 Fe 2.75, 4 Pt 2.75
Pt  0.2500  0.7500  0.5000  4 Fe 2.66, 4 Si 2.75, 4 Pt 2.75
Fe  0.7500  0.2500  0.5000  8 Pt 2.66-2.75, 4 Si 2.75
Si  0.5000  0.5000  0.0000  8 Pt 2.66-2.75, 4 Fe 2.75

**Final energy**: -26.99 eV/cell
**Density of states at the Fermi level**: 3.17 states/eV per cell

***

- Which value of final energy does entry 1 give?
  -27.24 eV/cell

***

Please write out number 2 again, unchanged.
Computed, not measured: a relaxed FeSiPt2 crystal at the PBE level of DFT.

Lattice parameters (Å, degrees): 4.7822 4.7822 4.7822 136.87 128.75 69.17
Closest atoms and distances in Å follow each position.
Fractional coordinates of all 4 atoms:
Pt  0.5333  0.5333  0.0000  2 Si 2.45, 2 Fe 2.68
Pt  0.9667  0.9667  0.0000  2 Si 2.45, 2 Fe 2.68
Fe  0.2500  0.7500  0.5000  8 Pt 2.68-2.84, 4 Si 2.71
Si  0.7500  0.2500  0.5000  4 Pt 2.45, 4 Fe 2.71

**Final energy**: -27.36 eV/cell
**Density of states at the Fermi level**: 2.82 states/eV per cell